This record from Alexandria via LeMat-Bulk describes crystalline Ca3TiSb at its relaxed geometry. The functional is GGA-PBE. Values from VASP.

## Properties
Total magnetic moment: 0.06 μB per cell
Energy above the most stable polymorph in this dataset: 0.000 eV/f.u.
E_form (uncorrected): 0.395 eV/atom
Space-group type: No. 221

Cell and atoms, written as Quantum ESPRESSO input:
```
&SYSTEM
  ibrav = 0, nat = 5, ntyp = 3
/
ATOMIC_SPECIES
Sb 121.76 Sb.upf
Ca 40.08 Ca.upf
Ti 47.87 Ti.upf
CELL_PARAMETERS angstrom
5.889 0.000 0.000
0.000 5.889 0.000
0.000 0.000 5.889
ATOMIC_POSITIONS crystal
Sb 0.000 0.000 0.000
Ca 0.000 0.500 0.000
Ca 0.000 0.000 0.500
Ca 0.500 0.000 0.000
Ti 0.500 0.500 0.500
```